Entry 1:
Computed, not measured: crystalline CdInAs2P at its relaxed geometry at the PBE level of DFT.

Calculated values
**VASP energy**: -2.761 eV per atom
**Energy relative to the elements**: 4.558 eV per formula unit
**Energy relative to the lowest polymorph listed for this composition**: 0.000 eV/atom

Geometry as POSCAR:
```
CdInAs2P
1.0
5.2908 0.0000 0.0000
0.0000 4.9072 0.0000
0.0000 0.0000 5.2908
P As In Cd
1 2 1 1
Cartesian
0.0000 2.4536 0.0000
0.0000 0.0000 2.6454
2.6454 0.0000 0.0000
2.6454 2.4536 2.6454
0.0000 0.0000 0.0000
```


Entry 2:
Computed, not measured: crystalline TbPr2ScTl2 at its relaxed geometry at the PBE level of DFT.

Calculated values
**VASP energy**: -4.464 eV per atom
**Energy relative to the elements**: -1.533 eV per formula unit

Geometry as POSCAR:
```
TbPr2ScTl2
1.0
-2.7155 -0.7069 4.1655
5.6369 -2.6639 3.2227
2.5141 9.1892 3.1984
Pr Tb Tl Sc
4 2 4 2
Cartesian
4.1856 6.8900 6.9257
-0.8978 -0.0566 2.4330
6.7528 5.2453 5.2923
2.3606 0.8253 1.6790
6.5501 1.6216 4.5453
3.9601 3.7888 3.2246
4.8612 -0.7117 3.0483
3.7886 7.0014 3.6579
0.9268 2.6041 4.0740
4.3032 3.3114 6.3951
1.3040 5.5257 4.8156
3.1784 0.7432 5.2260
```


Entry 3:
Computed, not measured: crystalline Rb2MgZn2Se4 at its relaxed geometry at the PBE level of DFT.

Calculated values
**VASP energy**: -3.237 eV per atom
**Formation energy without anion corrections**: -97.7 kJ per mole of atoms

Geometry as POSCAR:
```
Rb2MgZn2Se4
1.0
-3.0556 -2.5962 0.6615
1.0748 -3.1193 -7.2776
6.1016 -2.7838 4.7767
Se Zn Rb Mg
4 2 2 1
Cartesian
-0.4986 -3.9110 -5.1704
2.0820 -2.2364 0.8400
2.0388 -6.2629 -2.6795
4.6194 -4.5882 3.3310
1.0892 -5.7497 -5.0520
3.0316 -2.7496 3.2125
1.7296 -2.7164 -2.6716
2.3912 -5.7828 0.8322
0.0000 0.0000 0.0000
```